## DyY3Sc2As6 (PBE)

Data for crystalline DyY3Sc2As6 at its relaxed geometry.

The structure in POSCAR format:
```
DyY3Sc2As6
1.0
3.505 -6.071 0.000
3.505 6.071 0.000
-2.338 0.000 6.601
Dy Y Sc As
1 3 2 6
Cartesian
0.000 0.000 0.000
2.336 4.071 3.301
2.336 0.000 3.301
2.336 -4.071 3.301
3.505 2.032 0.000
3.505 -2.032 0.000
1.196 2.071 1.585
0.055 0.000 5.028
1.196 -2.071 1.585
3.477 2.071 5.016
4.617 0.000 1.573
3.477 -2.071 5.016
```

Output
The calculation puts the formation enthalpy at 0 K at -1.476 eV/atom. Its volume is 280.92 Å³/cell. The value obtained for the total energy is -0.252 hartree per atom. The total moment comes out at 0.00 μB/f.u.

=====

## Dy2YSc3As6 (PBE)

Data for crystalline Dy2YSc3As6 at its relaxed geometry.

The structure in POSCAR format:
```
Dy2YSc3As6
1.0
3.470 -6.010 0.000
3.470 6.010 0.000
-2.310 0.000 6.519
Dy Y Sc As
2 1 3 6
Cartesian
3.470 4.007 0.000
3.470 -4.007 0.000
3.470 0.000 0.000
-1.155 0.000 3.260
2.315 2.003 3.260
2.315 -2.003 3.260
0.001 2.006 4.791
1.155 0.000 1.729
0.001 -2.006 4.791
4.629 2.006 1.729
3.475 0.000 4.790
4.629 -2.006 1.729
```

Output
The calculation puts the formation enthalpy at 0 K at -1.447 eV/atom. Its volume is 271.92 Å³/cell. The value obtained for the total energy is -0.245 hartree per atom. The total moment comes out at 0.00 μB/f.u.

=====

## Dy2YScAs4 (PBE)

Data for crystalline Dy2YScAs4 at its relaxed geometry.

The structure in POSCAR format:
```
Dy2YScAs4
1.0
7.037 0.000 0.000
0.000 4.068 0.000
-2.347 0.000 6.635
Dy Y Sc As
2 1 1 4
Cartesian
0.000 0.000 0.000
-1.174 2.034 3.317
2.345 0.000 3.317
3.518 2.034 0.000
1.216 2.034 1.624
0.042 0.000 5.041
4.648 0.000 1.594
3.474 2.034 5.011
```

Output
The calculation puts the formation enthalpy at 0 K at -1.485 eV/atom. Its volume is 189.91 Å³/cell. The value obtained for the total energy is -0.241 hartree per atom. The total moment comes out at 0.00 μB/f.u.